Computed, not measured: a geometry-optimized CrReHg2 structure at the PBE-GGA level of DFT.

a b c (Å): 2.868 2.868 9.840
angles (deg): 90.00 90.00 115.45
Sites, in units of the cell vectors:
Cr: 0.500 0.500 0.721
Re: 0.000 0.000 0.540
Hg: 0.500 0.500 0.270
Hg: 0.000 0.000 0.969

## Properties
Volume in Å³ per atom: 18.27
ρ in Mg/m³: 14.53
E_form in eV per atom: 0.54
Crystal system: orthorhombic
E in eV/atom: -5.1337